Entry 1:
The following is a PBE with a Hubbard U calculation of a relaxed structure of CrCuSiF2, from Alexandria via LeMat-Bulk.

Summary:
Total energy = -5.082 eV per atom

Unit cell a=3.7844 b=6.1210 c=3.7844 alpha=90.00 beta=90.00 gamma=90.00
With the nearest neighbours (Å) after each atom.
Element x y z (fractional)
Cr 0.0000 0.0000 0.0000  4 F 1.89
Si 0.5000 0.5000 0.5000  4 Cu 2.68
Cu 0.0000 0.5000 0.0000  4 Si 2.68
F 0.0000 0.0000 0.5000  2 Cr 1.89
F 0.5000 0.0000 0.0000  2 Cr 1.89

***

Entry 2:
The following is a PBE with a Hubbard U calculation of a relaxed structure of CrCuSiF2, from Alexandria via LeMat-Bulk.

Summary:
Total energy = -4.746 eV per atom

Unit cell a=3.8214 b=5.5570 c=3.8214 alpha=90.00 beta=90.00 gamma=90.00
With the nearest neighbours (Å) after each atom.
Element x y z (fractional)
Cr 0.0000 0.5000 0.0000  4 Cu 2.70, 2 Si 2.78
Si 0.0000 0.0000 0.0000  4 F 1.91
Cu 0.5000 0.5000 0.5000  4 Cr 2.70
F 0.0000 0.0000 0.5000  2 Si 1.91
F 0.5000 0.0000 0.0000  2 Si 1.91

***

Entry 3:
The following is a PBE with a Hubbard U calculation of a relaxed structure of Tl2CrCu3F12, from Alexandria via LeMat-Bulk.

Summary:
Total energy = -4.479 eV per atom

Unit cell a=7.3363 b=7.3363 c=7.3363 alpha=59.38 beta=59.38 gamma=59.38
With the nearest neighbours (Å) after each atom.
Element x y z (fractional)
Tl 0.6122 0.6122 0.6122  6 F 2.99-3.27
Tl 0.3878 0.3878 0.3878  6 F 2.99-3.27
Cr 0.0000 0.0000 0.0000  6 F 1.94
Cu 0.5000 0.0000 0.0000  6 F 1.97-2.02
Cu 0.0000 0.5000 0.0000  6 F 1.97-2.02
Cu 0.0000 0.0000 0.5000  6 F 1.97-2.02
F 0.3230 0.3230 0.9239  2 Cu 1.97
F 0.9281 0.9281 0.3175  1 Cr 1.94, 1 Cu 2.02
F 0.3175 0.9281 0.9281  1 Cr 1.94, 1 Cu 2.02
F 0.9239 0.3230 0.3230  2 Cu 1.97
F 0.9281 0.3175 0.9281  1 Cr 1.94, 1 Cu 2.02
F 0.3230 0.9239 0.3230  2 Cu 1.97
F 0.6770 0.6770 0.0761  2 Cu 1.97
F 0.0719 0.0719 0.6825  1 Cr 1.94, 1 Cu 2.02
F 0.6825 0.0719 0.0719  1 Cr 1.94, 1 Cu 2.02
F 0.0761 0.6770 0.6770  2 Cu 1.97
F 0.0719 0.6825 0.0719  1 Cr 1.94, 1 Cu 2.02
F 0.6770 0.0761 0.6770  2 Cu 1.97

***

Entry 4:
The following is a PBE with a Hubbard U calculation of a relaxed structure of VCrCuF6, from Alexandria via LeMat-Bulk.

Summary:
Total energy = -5.633 eV per atom

Unit cell a=5.3907 b=5.3907 c=9.1516 alpha=90.00 beta=90.00 gamma=120.00
With the nearest neighbours (Å) after each atom.
Element x y z (fractional)
V 0.3333 0.6667 0.2500  6 F 2.12
V 0.6667 0.3333 0.7500  6 F 2.12
Cr 0.6667 0.3333 0.2500  6 F 1.98
Cr 0.3333 0.6667 0.7500  6 F 1.98
Cu 0.0000 0.0000 0.0000  6 F 2.25
Cu 0.0000 0.0000 0.5000  6 F 2.25
F 0.6613 0.6417 0.1343  1 Cr 1.98, 1 V 2.12
F 0.9803 0.3387 0.1343  1 Cr 1.98, 1 V 2.12
F 0.3387 0.9803 0.6343  1 Cr 1.98, 1 V 2.12
F 0.0197 0.6613 0.8657  1 Cr 1.98, 1 V 2.12
F 0.3583 0.3387 0.3657  1 Cr 1.98, 1 V 2.12
F 0.9803 0.6417 0.3657  1 Cr 1.98, 1 V 2.12
F 0.6417 0.9803 0.8657  1 Cr 1.98, 1 V 2.12
F 0.6613 0.0197 0.3657  1 Cr 1.98, 1 V 2.12
F 0.0197 0.3583 0.6343  1 Cr 1.98, 1 V 2.12
F 0.3583 0.0197 0.1343  1 Cr 1.98, 1 V 2.12
F 0.6417 0.6613 0.6343  1 Cr 1.98, 1 V 2.12
F 0.3387 0.3583 0.8657  1 Cr 1.98, 1 V 2.12

***

Entry 5:
The following is a PBE with a Hubbard U calculation of a relaxed structure of Zr2CrCuF, from Alexandria via LeMat-Bulk.

Summary:
Total energy = -5.760 eV per atom

Unit cell a=5.2001 b=3.7059 c=5.2001 alpha=90.00 beta=90.00 gamma=90.00
With the nearest neighbours (Å) after each atom.
Element x y z (fractional)
Cr 0.0000 0.0000 0.0000  2 F 1.85
Cu 0.5000 0.5000 0.5000  8 Zr 3.19
Zr 0.0000 0.0000 0.5000  2 Cr 2.60
Zr 0.5000 0.0000 0.0000  2 Cr 2.60
F 0.0000 0.5000 0.0000  2 Cr 1.85